4
Lattice="0.000 3.288 3.288 3.288 0.000 3.288 3.288 3.288 0.000" Properties=species:S:1:pos:R:3 comment="PBE ScNiSe2, optimized geometry" spacegroup="F-43m, No. 216" raw_formation_energy_mev_per_atom=-210 pbc="T T T"
Sc 0.000 0.000 0.000
Ni 1.644 1.644 1.644
Se 3.288 3.288 3.288
Se 4.932 4.932 4.932

=====

4
Lattice="0.000 3.096 3.096 3.096 0.000 3.096 3.096 3.096 0.000" Properties=species:S:1:pos:R:3 comment="PBE ScNi2Se, optimized geometry" spacegroup="F-43m, No. 216" raw_formation_energy_mev_per_atom=-296 pbc="T T T"
Sc 0.000 0.000 0.000
Ni 1.548 1.548 1.548
Ni 3.096 3.096 3.096
Se 4.645 4.645 4.645

=====

4
Lattice="3.374 0.000 0.000 0.000 3.351 0.000 -0.015 0.000 6.307" Properties=species:S:1:pos:R:3 comment="PBE Sc2NiSe, optimized geometry" spacegroup="P2/m, No. 10" raw_formation_energy_mev_per_atom=-815 pbc="T T T"
Sc -0.002 0.000 1.659
Sc 3.361 0.000 4.648
Ni 1.680 1.676 3.153
Se 1.687 1.676 0.000

=====

no.,N(E_F) (states/eV/f.u.)
1,3.83
2,2.96
3,2.85